1.
VASP calculation (PBE) on a relaxed BaTiI2O crystal.

a = 6.7071 Å, b = 6.7071 Å, c = 4.4882 Å
α = 90.00°, β = 90.00°, γ = 90.00°
Space group P4/mmm (No. 123)
Unique sites:
Ba  0.0000  0.0000  0.0000 x1
Ti  0.5000  0.5000  0.5000 x1
I  0.0000  0.5000  0.0000 x2
O  0.0000  0.0000  0.5000 x1


2.
VASP calculation (PBE) on a relaxed Cs2PrCd2Se4 crystal.

a = 17.2007 Å, b = 4.3629 Å, c = 8.8452 Å
α = 90.00°, β = 112.15°, γ = 90.00°
Space group C2/m (No. 12)
Unique sites:
Cs  0.1279  0.0000  0.0602 x4
Pr  0.0000  0.0000  0.5000 x2
Cd  0.1861  0.5000  0.5084 x4
Se  0.0265  0.5000  0.2855 x4
Se  0.1872  0.0000  0.7027 x4


3.
VASP calculation (PBE) on a relaxed Zn2CdTe crystal.

a = 7.1358 Å, b = 7.1358 Å, c = 7.1358 Å
α = 90.00°, β = 90.00°, γ = 90.00°
Space group Fm-3m (No. 225)
Unique sites:
Zn  0.2500  0.2500  0.2500 x8
Cd  0.0000  0.0000  0.0000 x4
Te  0.0000  0.0000  0.5000 x4


4.
VASP calculation (PBE) on a relaxed CaNiH3 crystal.

a = 5.2099 Å, b = 8.4159 Å, c = 4.7135 Å
α = 90.00°, β = 90.37°, γ = 90.00°
Space group C2/c (No. 15)
Unique sites:
Ca  0.0000  0.2063  0.2500 x4
Ni  0.0000  0.4447  0.7500 x4
H  0.0000  0.2538  0.7500 x4
H  0.2018  0.4792  0.0133 x8


5.
VASP calculation (PBE) on a relaxed LuHfP crystal.

a = 4.4276 Å, b = 4.4276 Å, c = 3.8083 Å
α = 90.00°, β = 90.00°, γ = 120.00°
Space group P3m1 (No. 156)
Unique sites:
Lu  0.0000  0.0000  0.0000 x1
Hf  0.6667  0.3333  0.4996 x1
P  0.3333  0.6667  0.4973 x1

* calculated formation energy: -424 meV/atom


6.
VASP calculation (PBE) on a relaxed Pm16Nd7Er6 crystal.

a = 16.0480 Å, b = 16.0480 Å, c = 16.0480 Å
α = 90.00°, β = 90.00°, γ = 90.00°
Space group Fm-3m (No. 225)
Unique sites:
Pm  0.1256  0.1256  0.1256 x32
Pm  0.1507  0.1507  0.3493 x32
Nd  0.0000  0.0000  0.0000 x4
Nd  0.0000  0.2500  0.2500 x24
Er  0.0000  0.0000  0.2635 x24

* calculated formation energy: 235 meV/atom


7.
VASP calculation (PBE) on a relaxed CaAgI2O crystal.

a = 6.1619 Å, b = 6.1619 Å, c = 4.3188 Å
α = 90.00°, β = 90.00°, γ = 90.00°
Space group P4/mmm (No. 123)
Unique sites:
Ca  0.0000  0.0000  0.0000 x1
Ag  0.5000  0.5000  0.5000 x1
I  0.0000  0.5000  0.0000 x2
O  0.0000  0.0000  0.5000 x1


8.
VASP calculation (PBE) on a relaxed ZnRuN2O crystal.

a = 3.7404 Å, b = 3.7404 Å, c = 4.3081 Å
α = 90.00°, β = 90.00°, γ = 90.00°
Space group P4/mmm (No. 123)
Unique sites:
Zn  0.0000  0.0000  0.0000 x1
Ru  0.5000  0.5000  0.5000 x1
N  0.0000  0.5000  0.5000 x2
O  0.5000  0.5000  0.0000 x1


The density of states at the Fermi level results, record by record, are as follows: 4.99, 3.58, 1.60, 1.90, 3.83, 40.38, 4.62, 3.77 states/eV/f.u..
The theoretical density results, record by record, are as follows: 3.74, 5.12, 6.78, 3.27, 9.87, 6.96, 4.23, 5.80 Mg/m³.
The E_tot results, record by record, are as follows: -3.88, -3.58, -1.46, -3.99, -7.05, -4.48, -3.18, -5.79 eV per atom.